A plane-wave DFT calculation with meta-GGA SCAN was carried out for a crystal of BaOs2RhAu relaxed with PBEsol.

crystal system = tetragonal
energy = -275.20 eV per cell
SG = P4/mmm, No. 123
DOS(E_F) = 6.0 states/eV/cell
magnetization = 0.945 μB per atom
energy of formation = 2.2076 eV/atom

Cell lengths 4.843, 4.843, 5.686 Å; angles 90.00, 90.00, 90.00 degrees
Last column: magnetic moment on the atom in μB.
Fractional coordinates of all 5 atoms:
Rh1 0.500 0.500 0.500  1.15
Au1 0.000 0.000 0.000  0.24
Ba1 0.000 0.000 0.500  -0.05
Os1 0.500 0.000 0.000  1.57
Os2 0.000 0.500 0.000  1.57